(1)
## CeTmGeAu (GGA-PBE)

Data for a relaxed structure of CeTmGeAu.

Summary:
Energy of formation from the pure elements, kJ per mole of atoms: -64
Crystal system: cubic
Total moment, μB/f.u.: 1.5

Cell: 7.2392 7.2392 7.2392 Å, 90.00 90.00 90.00°
With the nearest neighbours (Å) after each atom.
Atoms (fractional coordinates):
Ce  0.0000  0.0000  0.0000  4 Au 3.13, 4 Ge 3.13
Ce  0.0000  0.5000  0.5000  4 Au 3.13, 4 Ge 3.13
Ce  0.5000  0.0000  0.5000  4 Au 3.13, 4 Ge 3.13
Ce  0.5000  0.5000  0.0000  4 Au 3.13, 4 Ge 3.13
Tm  0.0000  0.0000  0.5000  4 Ge 3.13, 4 Au 3.13
Tm  0.0000  0.5000  0.0000  4 Ge 3.13, 4 Au 3.13
Tm  0.5000  0.0000  0.0000  4 Ge 3.13, 4 Au 3.13
Tm  0.5000  0.5000  0.5000  4 Ge 3.13, 4 Au 3.13
Ge  0.2500  0.2500  0.7500  4 Ce 3.13, 4 Tm 3.13
Ge  0.2500  0.7500  0.2500  4 Ce 3.13, 4 Tm 3.13
Ge  0.7500  0.2500  0.2500  4 Ce 3.13, 4 Tm 3.13
Ge  0.7500  0.7500  0.7500  4 Ce 3.13, 4 Tm 3.13
Au  0.2500  0.2500  0.2500  4 Ce 3.13, 4 Tm 3.13
Au  0.2500  0.7500  0.7500  4 Ce 3.13, 4 Tm 3.13
Au  0.7500  0.2500  0.7500  4 Ce 3.13, 4 Tm 3.13
Au  0.7500  0.7500  0.2500  4 Ce 3.13, 4 Tm 3.13



(2)
## NbV6B4 (GGA-PBE)

Data for a relaxed structure of NbV6B4.

Summary:
Energy of formation from the pure elements, kJ per mole of atoms: -17
Crystal system: tetragonal
Total moment, μB/f.u.: 0.0

Cell: 5.6616 5.6616 5.6616 Å, 118.86 118.86 91.99°
With the nearest neighbours (Å) after each atom.
Atoms (fractional coordinates):
Nb  0.0000  0.0000  0.0000  4 B 2.40
V  0.0000  0.5000  0.5000  4 B 2.16
V  0.1713  0.1713  0.6966  4 B 2.14-2.28
V  0.4747  0.4747  0.3034  4 B 2.14-2.28
V  0.5000  0.0000  0.5000  4 B 2.16
V  0.5253  0.8287  0.0000  4 B 2.14-2.28
V  0.8287  0.5253  0.0000  4 B 2.14-2.28
B  0.1959  0.6312  0.0000  6 V 2.14-2.28, 1 Nb 2.40
B  0.3688  0.3688  0.5647  6 V 2.14-2.28, 1 Nb 2.40
B  0.6312  0.1959  0.0000  6 V 2.14-2.28, 1 Nb 2.40
B  0.8041  0.8041  0.4353  6 V 2.14-2.28, 1 Nb 2.40



(3)
## Tb3Pm2Sm2 (GGA-PBE)

Data for a relaxed structure of Tb3Pm2Sm2.

Summary:
Energy of formation from the pure elements, kJ per mole of atoms: 1
Crystal system: monoclinic
Total moment, μB/f.u.: 0.0

Cell: 11.9454 3.6045 10.8319 Å, 90.00 95.86 90.00°
With the nearest neighbours (Å) after each atom.
Atoms (fractional coordinates):
Tb  0.0000  0.0000  0.0000  2 Tb 3.60, 6 Pm 3.61, 4 Sm 3.62
Tb  0.1429  0.0000  0.5707  5 Sm 3.59-3.60, 5 Tb 3.60, 2 Pm 3.60
Tb  0.3571  0.5000  0.4293  5 Sm 3.59-3.60, 5 Tb 3.60, 2 Pm 3.60
Tb  0.5000  0.5000  0.0000  2 Tb 3.60, 6 Pm 3.61, 4 Sm 3.62
Tb  0.6429  0.5000  0.5707  5 Sm 3.59-3.60, 5 Tb 3.60, 2 Pm 3.60
Tb  0.8571  0.0000  0.4293  5 Sm 3.59-3.60, 5 Tb 3.60, 2 Pm 3.60
Pm  0.2141  0.5000  0.8560  3 Sm 3.60-3.61, 5 Tb 3.60-3.61, 4 Pm 3.60-3.63
Pm  0.2859  0.0000  0.1440  3 Sm 3.60-3.61, 5 Tb 3.60-3.61, 4 Pm 3.60-3.63
Pm  0.7141  0.0000  0.8560  3 Sm 3.60-3.61, 5 Tb 3.60-3.61, 4 Pm 3.60-3.63
Pm  0.7859  0.5000  0.1440  3 Sm 3.60-3.61, 5 Tb 3.60-3.61, 4 Pm 3.60-3.63
Sm  0.0713  0.5000  0.2869  7 Tb 3.59-3.62, 3 Pm 3.60-3.61, 2 Sm 3.60
Sm  0.4287  0.0000  0.7131  7 Tb 3.59-3.62, 3 Pm 3.60-3.61, 2 Sm 3.60
Sm  0.5713  0.0000  0.2869  7 Tb 3.59-3.62, 3 Pm 3.60-3.61, 2 Sm 3.60
Sm  0.9287  0.5000  0.7131  7 Tb 3.59-3.62, 3 Pm 3.60-3.61, 2 Sm 3.60



(4)
## PaMnN3 (GGA-PBE)

Data for a relaxed structure of PaMnN3.

Summary:
Energy relative to the elements, uncorrected, eV/f.u.: -3.3
Crystal system: orthorhombic
Total moment, μB/f.u.: 2.1

Cell: 5.8192 5.8192 7.0438 Å, 90.00 90.00 148.28°
With the nearest neighbours (Å) after each atom.
Atoms (fractional coordinates):
Pa  0.2109  0.7891  0.7500  8 N 2.35-2.46
Pa  0.7891  0.2109  0.2500  8 N 2.35-2.46
Mn  0.0507  0.9493  0.2500  4 N 1.76-1.93
Mn  0.9493  0.0507  0.7500  4 N 1.76-1.93
N  0.1630  0.8370  0.0749  1 Mn 1.76
N  0.1630  0.8370  0.4251  1 Mn 1.76
N  0.4525  0.5475  0.2500  2 Mn 1.93
N  0.5475  0.4525  0.7500  2 Mn 1.93
N  0.8370  0.1630  0.5749  1 Mn 1.76
N  0.8370  0.1630  0.9251  1 Mn 1.76



(5)
## La5DyHoTm2 (GGA-PBE)

Data for a relaxed structure of La5DyHoTm2.

Summary:
Energy of formation from the pure elements, kJ per mole of atoms: 13
Crystal system: orthorhombic
Total moment, μB/f.u.: 0.0

Cell: 11.1897 11.1897 10.6304 Å, 90.00 90.00 151.64°
With the nearest neighbours (Å) after each atom.
Atoms (fractional coordinates):
La  0.0001  0.9999  0.0000  2 Ho 3.43, 4 Tm 3.68, 6 La 3.77-3.82
La  0.9999  0.0001  0.5000  2 Ho 3.43, 4 Tm 3.68, 6 La 3.77-3.82
La  0.1236  0.8764  0.7502  1 Dy 3.60, 6 La 3.77-3.92, 4 Tm 3.83
La  0.2203  0.7797  0.0613  1 Ho 3.29, 2 La 3.30, 3 Dy 3.41-3.63, 3 Tm 3.65-3.68
La  0.2196  0.7804  0.4404  1 Ho 3.29, 2 La 3.30, 3 Dy 3.41-3.63, 3 Tm 3.64-3.68
La  0.4990  0.5010  0.7500  2 Ho 3.48, 4 Tm 3.60-3.64, 6 La 3.82-3.85
La  0.5010  0.4990  0.2500  2 Ho 3.48, 4 Tm 3.60-3.64, 6 La 3.82-3.85
La  0.7797  0.2203  0.5613  1 Ho 3.29, 2 La 3.30, 3 Dy 3.41-3.63, 3 Tm 3.65-3.68
La  0.7804  0.2196  0.9404  1 Ho 3.29, 2 La 3.30, 3 Dy 3.41-3.63, 3 Tm 3.64-3.68
La  0.8764  0.1236  0.2502  1 Dy 3.60, 6 La 3.77-3.92, 4 Tm 3.83
Dy  0.2895  0.7105  0.7508  2 Tm 3.39, 7 La 3.41-3.63, 2 Ho 3.64
Dy  0.7105  0.2895  0.2508  2 Tm 3.39, 7 La 3.41-3.63, 2 Ho 3.64
Ho  0.1001  0.8999  0.2500  6 La 3.29-3.48, 2 Dy 3.64
Ho  0.8999  0.1001  0.7500  6 La 3.29-3.48, 2 Dy 3.64
Tm  0.3871  0.6129  0.9996  1 Dy 3.39, 7 La 3.60-3.68
Tm  0.3866  0.6134  0.5006  1 Dy 3.39, 7 La 3.60-3.68
Tm  0.6134  0.3866  0.0006  1 Dy 3.39, 7 La 3.60-3.68
Tm  0.6129  0.3871  0.4996  1 Dy 3.39, 7 La 3.60-3.68



(6)
## V3InGe (GGA-PBE)

Data for a relaxed structure of V3InGe.

Summary:
Energy of formation from the pure elements, kJ per mole of atoms: 162
Crystal system: cubic
Total moment, μB/f.u.: 6.4

Cell: 4.9176 4.9176 4.9176 Å, 90.00 90.00 90.00°
With the nearest neighbours (Å) after each atom.
Atoms (fractional coordinates):
V  0.0000  0.0000  0.5000  2 In 2.46
V  0.0000  0.5000  0.0000  2 In 2.46
V  0.5000  0.0000  0.0000  2 In 2.46
In  0.0000  0.0000  0.0000  6 V 2.46
Ge  0.5000  0.5000  0.5000  12 V 3.48



(7)
## Ba2SrCdP (GGA-PBE)

Data for a relaxed structure of Ba2SrCdP.

Summary:
Energy of formation from the pure elements, kJ per mole of atoms: -47
Crystal system: tetragonal
Total moment, μB/f.u.: 0.4

Cell: 6.2785 6.2785 5.8502 Å, 90.00 90.00 90.00°
With the nearest neighbours (Å) after each atom.
Atoms (fractional coordinates):
Ba  0.0000  0.5000  0.0000  2 P 3.14
Ba  0.5000  0.0000  0.0000  2 P 3.14
Sr  0.0000  0.0000  0.5000  2 P 2.93
Cd  0.5000  0.5000  0.5000  8 Ba 4.29, 4 Sr 4.44
P  0.0000  0.0000  0.0000  2 Sr 2.93, 4 Ba 3.14



(8)
## Tc2HIr (GGA-PBE)

Data for a relaxed structure of Tc2HIr.

Summary:
Crystal system: tetragonal
Total moment, μB/f.u.: 0.0

Cell: 6.0826 6.0826 5.1481 Å, 90.00 90.00 90.00°
With the nearest neighbours (Å) after each atom.
Atoms (fractional coordinates):
Tc  0.1550  0.7500  0.1250  2 H 1.90
Tc  0.2500  0.1550  0.8750  2 H 1.90
Tc  0.2500  0.3450  0.3750  2 H 1.90
Tc  0.3450  0.7500  0.6250  2 H 1.90
Tc  0.6550  0.2500  0.6250  2 H 1.90
Tc  0.7500  0.6550  0.3750  2 H 1.90
Tc  0.7500  0.8450  0.8750  2 H 1.90
Tc  0.8450  0.2500  0.1250  2 H 1.90
H  0.0000  0.0000  0.0000  4 Tc 1.90
H  0.0000  0.5000  0.2500  4 Tc 1.90
H  0.5000  0.0000  0.7500  4 Tc 1.90
H  0.5000  0.5000  0.5000  4 Tc 1.90
Ir  0.0000  0.0000  0.5000  2 H 2.57, 8 Tc 2.63-2.67
Ir  0.0000  0.5000  0.7500  2 H 2.57, 8 Tc 2.63-2.67
Ir  0.5000  0.0000  0.2500  2 H 2.57, 8 Tc 2.63-2.67
Ir  0.5000  0.5000  0.0000  2 H 2.57, 8 Tc 2.63-2.67



(9)
## Tb2YSn (GGA-PBE)

Data for a relaxed structure of Tb2YSn.

Summary:
Energy of formation from the pure elements, kJ per mole of atoms: -41
Crystal system: tetragonal
Total moment, μB/f.u.: 0.0

Cell: 4.8052 4.8052 4.8596 Å, 90.00 90.00 90.00°
With the nearest neighbours (Å) after each atom.
Atoms (fractional coordinates):
Tb  0.0000  0.5000  0.0000  4 Tb 3.40, 4 Sn 3.42, 4 Y 3.42
Tb  0.5000  0.0000  0.0000  4 Tb 3.40, 4 Sn 3.42, 4 Y 3.42
Y  0.0000  0.0000  0.5000  4 Sn 3.40, 8 Tb 3.42
Sn  0.5000  0.5000  0.5000  4 Y 3.40, 8 Tb 3.42



(10)
## HfZr2HgB (GGA-PBE)

Data for a relaxed structure of HfZr2HgB.

Summary:
Energy of formation from the pure elements, kJ per mole of atoms: -29
Crystal system: tetragonal
Total moment, μB/f.u.: 0.0

Cell: 4.6457 4.6457 4.6001 Å, 90.00 90.00 90.00°
With the nearest neighbours (Å) after each atom.
Atoms (fractional coordinates):
Hf  0.0000  0.0000  0.0000  2 B 2.30
Zr  0.0000  0.5000  0.5000  2 B 2.32
Zr  0.5000  0.0000  0.5000  2 B 2.32
Hg  0.5000  0.5000  0.0000  8 Zr 3.27, 4 Hf 3.29
B  0.0000  0.0000  0.5000  2 Hf 2.30, 4 Zr 2.32



| no. | electronic total energy (eV per cell) |
| --- | --- |
| 1 | -83.8 |
| 2 | -93.5 |
| 3 | -65.5 |
| 4 | -93.9 |
| 5 | -83.2 |
| 6 | -26.3 |
| 7 | -14.3 |
| 8 | -128.7 |
| 9 | -21.4 |
| 10 | -35.5 |